(1)
First-principles (PBE) data for an optimized crystal structure of RbOs3Ru, as listed in Alexandria.

Summary:
Formation energy: 2.236 eV per atom
Theoretical density: 11.4 g cm⁻³
Excess energy over the best structure of this formula in the dataset: 0 meV/atom

Structure (POSCAR):
```
RbOs3Ru
1.0
-4.5164 1.3341 0.9333
-0.6431 -3.9900 2.5913
1.4957 2.3127 3.9323
Ru Os Rb
1 3 1
direct
0.0000 0.0000 0.0000
0.0000 0.5000 0.0000
0.0000 0.0000 0.5000
0.5000 0.0000 0.0000
0.5000 0.5000 0.5000
```



(2)
First-principles (PBE) data for an optimized crystal structure of ThScPt4, as listed in Alexandria.

Summary:
Formation energy: -1.032 eV per atom
Theoretical density: 15.5 g cm⁻³

Structure (POSCAR):
```
ThScPt4
1.0
5.4347 0.0000 0.0000
2.7174 4.7066 0.0000
2.7174 1.5689 4.4374
Sc Pt Th
1 4 1
direct
0.0000 0.0000 0.0000
0.6257 0.6257 0.1228
0.6257 0.1228 0.6257
0.6257 0.6257 0.6257
0.1228 0.6257 0.6257
0.2500 0.2500 0.2500
```



(3)
First-principles (PBE) data for an optimized crystal structure of ErAlGa2Ni2, as listed in Alexandria.

Summary:
Formation energy: -0.236 eV per atom
Theoretical density: 7.3 g cm⁻³

Structure (POSCAR):
```
ErAlGa2Ni2
1.0
4.3231 0.0000 0.0000
0.0000 4.3231 0.0000
0.0000 0.0000 5.5178
Er Al Ga Ni
1 1 2 2
direct
0.0000 0.0000 0.5000
0.0000 0.0000 0.0000
0.5000 0.5000 0.7410
0.5000 0.5000 0.2590
0.5000 0.0000 0.0000
0.0000 0.5000 0.0000
```



(4)
First-principles (PBE) data for an optimized crystal structure of Ce2ErGa, as listed in Alexandria.

Summary:
Formation energy: 0.038 eV per atom
Theoretical density: 8.4 g cm⁻³
Excess energy over the best structure of this formula in the dataset: 322 meV/atom

Structure (POSCAR):
```
Ce2ErGa
1.0
-0.3029 0.7053 3.1128
-2.0570 -1.6489 1.8245
7.5038 -7.8697 4.1644
Ga Ce Er
1 2 1
direct
0.5000 0.5000 0.5000
0.0923 0.0923 0.7230
0.9077 0.9077 0.2770
0.0000 0.0000 0.0000
```



(5)
First-principles (PBE) data for an optimized crystal structure of Tl2AsW, as listed in Alexandria.

Summary:
Formation energy: 0.904 eV per atom
Theoretical density: 12.9 g cm⁻³
Excess energy over the best structure of this formula in the dataset: 567 meV/atom

Structure (POSCAR):
```
Tl2AsW
1.0
3.0275 -0.0203 0.0000
-1.0744 2.8306 0.0000
0.0000 0.0000 10.0732
Tl As W
2 1 1
direct
0.0000 0.0000 0.0090
0.0000 0.0000 0.4910
0.5000 0.5000 0.7500
0.5000 0.5000 0.2500
```



(6)
First-principles (PBE) data for an optimized crystal structure of Pm2MgP3Pt12, as listed in Alexandria.

Summary:
Formation energy: -0.476 eV per atom
Theoretical density: 13.0 g cm⁻³

Structure (POSCAR):
```
Pm2MgP3Pt12
1.0
7.5823 -0.3794 -0.2691
3.4147 6.7805 -0.2691
3.4147 1.9876 6.4882
Pm Mg P Pt
2 1 3 12
direct
0.6075 0.6075 0.6075
0.3925 0.3925 0.3925
0.0000 0.0000 0.0000
0.5000 0.0000 0.0000
0.0000 0.5000 0.0000
0.0000 0.0000 0.5000
0.3430 0.3430 0.8974
0.8679 0.8679 0.3775
0.3775 0.8679 0.8679
0.8974 0.3430 0.3430
0.8679 0.3775 0.8679
0.3430 0.8974 0.3430
0.6570 0.6570 0.1026
0.1321 0.1321 0.6225
0.6225 0.1321 0.1321
0.1026 0.6570 0.6570
0.1321 0.6225 0.1321
0.6570 0.1026 0.6570
```



(7)
First-principles (PBE) data for an optimized crystal structure of Ce9N2O14, as listed in Alexandria.

Summary:
Theoretical density: 6.7 g cm⁻³
Formation energy without anion corrections: -3194.8 meV per atom

Structure (POSCAR):
```
Ce9N2O14
1.0
6.7598 0.0000 0.0000
-3.3799 5.8541 0.0000
0.0000 0.0000 9.4860
Ce N O
9 2 14
direct
0.3060 0.9690 0.3380
0.0310 0.3370 0.3380
0.3333 0.6667 0.0182
0.0000 0.0000 0.0000
0.3370 0.3060 0.6620
0.6630 0.6940 0.3380
0.6667 0.3333 0.9818
0.9690 0.6630 0.6620
0.6940 0.0310 0.6620
0.3333 0.6667 0.2576
0.6667 0.3333 0.7424
0.0332 0.6756 0.9048
0.3209 0.9555 0.5927
0.0445 0.3655 0.5927
0.0000 0.0000 0.2528
0.0000 0.0000 0.7472
0.3244 0.3576 0.9048
0.6424 0.9668 0.9048
0.3655 0.3209 0.4073
0.6345 0.6791 0.5927
0.3576 0.0332 0.0952
0.6756 0.6424 0.0952
0.9555 0.6345 0.4073
0.6791 0.0445 0.4073
0.9668 0.3244 0.0952
```



(8)
First-principles (PBE) data for an optimized crystal structure of ErBe2CoSi, as listed in Alexandria.

Summary:
Theoretical density: 6.7 g cm⁻³
Formation energy without anion corrections: -384.9 meV per atom

Structure (POSCAR):
```
ErBe2CoSi
1.0
-0.8869 -3.1869 -1.8935
3.2571 -1.5919 1.1537
-3.3408 0.7321 4.1691
Er Be Co Si
1 2 1 1
direct
0.4443 0.4443 0.8887
0.6898 0.1898 0.3795
0.0704 0.0704 0.1409
0.1879 0.6879 0.3758
0.8197 0.8197 0.6393
```